The following is a DFT calculation (PBE-GGA) of a relaxed structure of YBeTl.

## Properties
* polymorph energy (0 for the lowest one): 0.073 eV per atom
* formation energy: -0.14 eV/f.u.
* raw total energy: -4.231 eV per atom
* M_tot: 0.00 Bohr magnetons per cell

Cell lengths 5.0251, 3.8866, 7.0310 Å; angles 90.00, 101.88, 90.00 degrees
Last column: nearest neighbours and their distance in Å.
Fractional coordinates of all 6 atoms:
Y 0.0000 0.0000 0.0000  4 Be 2.77-2.98
Y 0.3835 0.0000 0.5574  3 Be 2.75-2.87
Be 0.3442 0.5000 0.2523  2 Be 2.22
Be 0.5339 0.0000 0.2027  2 Be 2.22
Tl 0.4848 0.5000 0.9231  3 Be 2.56-2.74
Tl 0.8678 0.5000 0.4027  4 Be 2.63-2.81

The following is a DFT calculation (PBE-GGA) of a relaxed structure of HoZn4Cu2.

## Properties
* polymorph energy (0 for the lowest one): 0.448 eV per atom
* formation energy: 1.52 eV/f.u.
* raw total energy: -2.335 eV per atom
* M_tot: 0.00 Bohr magnetons per cell

Cell lengths 5.8873, 5.8873, 5.8873 Å; angles 101.05, 101.05, 128.08 degrees
Last column: nearest neighbours and their distance in Å.
Fractional coordinates of all 7 atoms:
Ho 0.0000 0.0000 0.0000  8 Zn 3.12
Zn 0.2640 0.5000 0.7640  2 Cu 2.36, 2 Zn 2.50
Zn 0.5000 0.2640 0.7640  2 Cu 2.36, 2 Zn 2.50
Zn 0.5000 0.7360 0.2360  2 Cu 2.36, 2 Zn 2.50
Zn 0.7360 0.5000 0.2360  2 Cu 2.36, 2 Zn 2.50
Cu 0.2500 0.7500 0.5000  4 Zn 2.36, 2 Cu 2.58
Cu 0.7500 0.2500 0.5000  4 Zn 2.36, 2 Cu 2.58

The following is a DFT calculation (PBE-GGA) of a relaxed structure of Ac3LaTl2C.

## Properties
* formation energy: -1.39 eV/f.u.
* raw total energy: -4.658 eV per atom
* M_tot: 0.00 Bohr magnetons per cell

Cell lengths 9.0199, 9.0199, 9.0199 Å; angles 145.19, 144.46, 50.60 degrees
Last column: nearest neighbours and their distance in Å.
Fractional coordinates of all 7 atoms:
Ac 0.0000 0.0000 0.0000  2 C 2.75
Ac 0.3335 0.8335 0.5000  1 C 2.72
Ac 0.6665 0.1665 0.5000  1 C 2.72
La 0.5000 0.5000 0.0000  2 C 2.70
Tl 0.1276 0.6276 0.5000  3 Ac 3.36-3.41, 2 La 3.45
Tl 0.8724 0.3724 0.5000  3 Ac 3.36-3.41, 2 La 3.45
C 0.5000 0.0000 0.5000  2 La 2.70, 4 Ac 2.72-2.75

The following is a DFT calculation (PBE-GGA) of a relaxed structure of Si7SnN10.

## Properties
* raw total energy: -7.867 eV per atom
* M_tot: 0.00 Bohr magnetons per cell
* energy relative to the elements, uncorrected: -910 meV/atom

Cell lengths 6.8502, 6.8287, 9.7502 Å; angles 90.00, 106.11, 90.00 degrees
Last column: nearest neighbours and their distance in Å.
Fractional coordinates of all 36 atoms:
Si 0.0000 0.0243 0.0000  4 N 1.66-1.83
Si 0.0000 0.9757 0.5000  4 N 1.66-1.83
Si 0.1254 0.3640 0.6669  4 N 1.71-1.76
Si 0.1254 0.6360 0.1669  4 N 1.71-1.76
Si 0.3080 0.3786 0.9846  4 N 1.68-1.82
Si 0.3080 0.6214 0.4846  4 N 1.68-1.82
Si 0.5727 0.4021 0.7498  4 N 1.71-1.78
Si 0.5727 0.5979 0.2498  4 N 1.71-1.78
Si 0.7594 0.3827 0.0586  4 N 1.72-1.75
Si 0.7594 0.6173 0.5586  4 N 1.72-1.75
Si 0.8178 0.0251 0.6926  4 N 1.69-1.79
Si 0.8178 0.9749 0.1926  4 N 1.69-1.79
Si 0.9475 0.3689 0.3628  4 N 1.73-1.74
Si 0.9475 0.6311 0.8628  4 N 1.73-1.74
Sn 0.4503 0.0021 0.3429  1 N 2.29
Sn 0.4503 0.9979 0.8429  1 N 2.29
N 0.0212 0.1347 0.6456  3 Si 1.71-1.76
N 0.0212 0.8653 0.1456  3 Si 1.71-1.76
N 0.1645 0.4154 0.5007  3 Si 1.73-1.75
N 0.1645 0.5846 0.0007  3 Si 1.73-1.75
N 0.1998 0.1619 0.9977  2 Si 1.66-1.68
N 0.1998 0.8381 0.4977  2 Si 1.66-1.68
N 0.3501 0.3723 0.8080  3 Si 1.76-1.82
N 0.3501 0.6277 0.3080  3 Si 1.76-1.82
N 0.5406 0.4270 0.1108  3 Si 1.74-1.76
N 0.5406 0.5730 0.6108  3 Si 1.74-1.76
N 0.6231 0.1662 0.7099  2 Si 1.69-1.71
N 0.6231 0.8338 0.2099  2 Si 1.69-1.71
N 0.7512 0.4979 0.8998  3 Si 1.72-1.75
N 0.7512 0.5021 0.3998  3 Si 1.72-1.75
N 0.7755 0.1297 0.0391  3 Si 1.75-1.83
N 0.7755 0.8703 0.5391  3 Si 1.75-1.83
N 0.9031 0.1185 0.3458  3 Si 1.74-1.76
N 0.9031 0.8815 0.8458  3 Si 1.74-1.76
N 0.9611 0.4611 0.1994  3 Si 1.73-1.74
N 0.9611 0.5389 0.6994  3 Si 1.73-1.74